{"formula": "CrSe2BrO", "functional": "PBE with a Hubbard U", "state": "optimized geometry", "relative_energy_mev_per_atom": 964.7, "magmom_total_mub_per_atom": 0.000, "final_energy_ev_per_atom": -3.0837, "cell": [[4.5991, 0.0000, 0.0000], [0.0000, 4.5991, 0.0000], [0.0000, 0.0000, 5.0391]], "species": ["Cr", "Se", "Se", "Br", "O"], "frac_coords": [[0.0000, 0.0000, 0.0000], [0.0000, 0.5000, 0.0000], [0.5000, 0.0000, 0.0000], [0.0000, 0.0000, 0.5000], [0.5000, 0.5000, 0.5000]]}